[1]
Density functional theory data (PBE) for a relaxed structure of Rb2TlFe.

E_form = 0.612 eV/atom
energy above the lowest structure with this stoichiometry = 0 kJ/mol of formula units
space-group type = I-42d (122)

abc: 9.699 9.699 9.699
angles: 94.01 94.01 149.32
Element x y z (fractional)
Rb: 0.375 0.190 0.315
Rb: 0.810 0.125 0.185
Rb: 0.875 0.060 0.685
Rb: 0.940 0.625 0.815
Tl: 0.250 0.750 0.500
Tl: 0.500 0.500 0.000
Fe: 0.000 0.000 0.000
Fe: 0.750 0.250 0.500



[2]
Density functional theory data (PBE) for a relaxed structure of SbMo2.

energy above the lowest structure with this stoichiometry = 69 kJ/mol of formula units
space-group type = Fd-3m (227)
raw formation energy = 0.438 eV/atom

abc: 5.394 5.394 5.394
angles: 60.00 60.00 60.00
Element x y z (fractional)
Sb: 0.125 0.125 0.125
Sb: 0.875 0.875 0.875
Mo: 0.000 0.500 0.500
Mo: 0.500 0.000 0.500
Mo: 0.500 0.500 0.000
Mo: 0.500 0.500 0.500



[3]
Density functional theory data (PBE) for a relaxed structure of Ba4Pb2I.

energy above the lowest structure with this stoichiometry = 6 kJ/mol of formula units
space-group type = P1 (1)
raw formation energy = -0.698 eV/atom

abc: 8.862 8.969 9.000
angles: 89.99 89.69 89.83
Element x y z (fractional)
Ba: 0.000 0.000 0.000
Ba: 0.000 0.458 0.002
Ba: 0.542 0.460 0.461
Ba: 0.543 0.001 0.464
Ba: 0.543 0.457 0.002
Ba: 0.544 0.998 0.004
Ba: 0.998 0.456 0.463
Ba: 0.999 0.997 0.460
Pb: 0.271 0.228 0.232
Pb: 0.771 0.228 0.232
Pb: 0.771 0.228 0.732
Pb: 0.771 0.728 0.232
I: 0.051 0.728 0.731
I: 0.497 0.729 0.733



[4]
Density functional theory data (PBE) for a relaxed structure of Rb3Np2AgSe6.

space-group type = C2/m (12)
raw formation energy = -1.050 eV/atom

abc: 7.346 7.346 8.314
angles: 98.34 98.34 120.08
Element x y z (fractional)
Rb: 0.000 0.000 0.000
Rb: 0.341 0.659 0.000
Rb: 0.659 0.341 0.000
Np: 0.167 0.833 0.500
Np: 0.833 0.167 0.500
Ag: 0.500 0.500 0.500
Se: 0.083 0.435 0.304
Se: 0.216 0.216 0.691
Se: 0.435 0.083 0.304
Se: 0.565 0.917 0.696
Se: 0.784 0.784 0.309
Se: 0.917 0.565 0.696



[5]
Density functional theory data (PBE) for a relaxed structure of Pm4ZnIr3.

E_form = -0.607 eV/atom
space-group type = Pmm2 (25)

abc: 3.987 4.371 10.825
angles: 90.00 90.00 90.00
Element x y z (fractional)
Pm: 0.000 0.000 0.000
Pm: 0.000 0.500 0.273
Pm: 0.500 0.000 0.481
Pm: 0.500 0.500 0.775
Zn: 0.000 0.000 0.700
Ir: 0.000 0.500 0.565
Ir: 0.500 0.000 0.215
Ir: 0.500 0.500 0.047



[6]
Density functional theory data (PBE) for a relaxed structure of Sr2LiIn2Pd5.

E_form = -0.443 eV/atom
space-group type = P4/mbm (127)

abc: 10.878 10.878 3.550
angles: 90.00 90.00 90.00
Element x y z (fractional)
Sr: 0.170 0.330 0.000
Sr: 0.330 0.830 0.000
Sr: 0.670 0.170 0.000
Sr: 0.830 0.670 0.000
Li: 0.000 0.000 0.000
Li: 0.500 0.500 0.000
In: 0.132 0.632 0.000
In: 0.368 0.132 0.000
In: 0.632 0.868 0.000
In: 0.868 0.368 0.000
Pd: 0.000 0.500 0.500
Pd: 0.060 0.814 0.500
Pd: 0.186 0.060 0.500
Pd: 0.314 0.560 0.500
Pd: 0.440 0.314 0.500
Pd: 0.500 0.000 0.500
Pd: 0.560 0.686 0.500
Pd: 0.686 0.440 0.500
Pd: 0.814 0.940 0.500
Pd: 0.940 0.186 0.500



[7]
Density functional theory data (PBE) for a relaxed structure of PmSm5Y2Er.

E_form = 0.144 eV/atom
space-group type = Cmc2_1 (36)

abc: 10.517 10.517 10.700
angles: 90.00 90.00 148.78
Element x y z (fractional)
Pm: 0.202 0.798 0.500
Pm: 0.798 0.202 0.000
Sm: 0.018 0.982 0.515
Sm: 0.282 0.718 0.798
Sm: 0.298 0.702 0.195
Sm: 0.394 0.606 0.516
Sm: 0.479 0.521 0.233
Sm: 0.521 0.479 0.733
Sm: 0.606 0.394 0.016
Sm: 0.702 0.298 0.695
Sm: 0.718 0.282 0.298
Sm: 0.982 0.018 0.015
Y: 0.110 0.890 0.228
Y: 0.116 0.884 0.811
Y: 0.884 0.116 0.311
Y: 0.890 0.110 0.728
Er: 0.411 0.589 0.950
Er: 0.589 0.411 0.450



[8]
Density functional theory data (PBE) for a relaxed structure of Sr5Li5Zn2.

E_form = -0.032 eV/atom
space-group type = C2/m (12)

abc: 9.164 9.164 13.357
angles: 129.81 129.81 28.74
Element x y z (fractional)
Sr: 0.000 0.000 0.000
Sr: 0.300 0.300 0.418
Sr: 0.378 0.378 0.172
Sr: 0.622 0.622 0.828
Sr: 0.700 0.700 0.582
Li: 0.000 0.000 0.500
Li: 0.065 0.065 0.323
Li: 0.288 0.288 0.839
Li: 0.712 0.712 0.161
Li: 0.935 0.935 0.677
Zn: 0.391 0.391 0.743
Zn: 0.609 0.609 0.257



These records have V values of 56.130 18.496 51.099 30.958 23.578 21.005 34.076 33.725 Å³ per atom, in the order they appear.
These records have DOS at the Fermi energy values of 1.23 0.96 0.39 1.34 0.65 0.42 1.62 0.66 states/eV/atom, in the order they appear.